1.
A relaxed LaAlGaPt crystal. Source: Alexandria via LeMat-Bulk, functional PBE.

Cell: 4.279 4.279 6.003 Å, 69.12 69.12 60.00°
Fractional positions:
La 0.806 0.806 0.581
Al 0.600 0.600 0.200
Ga 0.021 0.021 0.938
Pt 0.299 0.299 0.103

## Properties
crystal system: trigonal
N(E_F): 0.474 states/eV per atom
total energy: -5.3109 eV/atom
magnetization: 0.00 Bohr magnetons per cell
calculated formation energy: -0.876 eV/atom

---

2.
A relaxed LaAl2GaPt4 crystal. Source: Alexandria via LeMat-Bulk, functional PBE.

Cell: 4.313 4.313 9.328 Å, 76.63 76.63 60.00°
Fractional positions:
La 0.000 0.000 0.000
Al 0.760 0.760 0.719
Al 0.240 0.240 0.281
Ga 0.500 0.500 0.500
Pt 0.405 0.405 0.784
Pt 0.864 0.864 0.407
Pt 0.136 0.136 0.593
Pt 0.595 0.595 0.216

## Properties
crystal system: trigonal
N(E_F): 0.269 states/eV per atom
total energy: -5.9339 eV/atom
magnetization: 0.00 Bohr magnetons per cell
calculated formation energy: -0.984 eV/atom

---

3.
A relaxed LaAlGaPt3 crystal. Source: Alexandria via LeMat-Bulk, functional PBE.

Cell: 5.694 6.805 7.134 Å, 118.49 90.00 90.00°
Fractional positions:
La 0.750 0.285 0.571
La 0.250 0.715 0.429
Al 0.250 0.976 0.952
Al 0.750 0.024 0.048
Ga 0.250 0.373 0.746
Ga 0.750 0.627 0.254
Pt 0.250 0.178 0.356
Pt 0.000 0.292 0.000
Pt 0.500 0.708 0.000
Pt 0.500 0.292 0.000
Pt 0.000 0.708 0.000
Pt 0.750 0.822 0.644

## Properties
crystal system: orthorhombic
N(E_F): 0.265 states/eV per atom
total energy: -5.8189 eV/atom
magnetization: 0.00 Bohr magnetons per cell
calculated formation energy: -0.849 eV/atom

---

4.
A relaxed La2AlGaPt6 crystal. Source: Alexandria via LeMat-Bulk, functional PBE.

Cell: 8.359 5.736 8.361 Å, 69.91 40.12 89.97°
Fractional positions:
La 0.211 0.789 0.422
La 0.789 0.211 0.578
Al 0.500 0.500 0.000
Ga 0.000 0.000 0.000
Pt 0.252 0.749 0.000
Pt 0.748 0.748 0.000
Pt 0.251 0.251 0.497
Pt 0.748 0.251 0.000
Pt 0.252 0.252 0.000
Pt 0.749 0.749 0.503

## Properties
crystal system: trigonal
N(E_F): 0.462 states/eV per atom
total energy: -6.1650 eV/atom
magnetization: 0.00 Bohr magnetons per cell
calculated formation energy: -0.878 eV/atom

---

5.
A relaxed LaPuAlGa crystal. Source: Alexandria via LeMat-Bulk, functional PBE.

Cell: 5.223 5.223 5.223 Å, 60.00 60.00 60.00°
Site moments in Bohr magnetons follow the coordinates.
Fractional positions:
La 0.500 0.500 0.500  0.04
Al 0.750 0.750 0.750  -0.02
Ga 0.250 0.250 0.250  -0.02
Pu 0.000 0.000 0.000  5.32

## Properties
crystal system: cubic
N(E_F): 2.145 states/eV per atom
total energy: -6.7750 eV/atom
magnetization: 5.58 Bohr magnetons per cell
calculated formation energy: -0.268 eV/atom

---

6.
A relaxed La2AlGa2Rh5 crystal. Source: Alexandria via LeMat-Bulk, functional PBE.

Cell: 3.522 10.056 10.056 Å, 90.00 90.00 90.00°
Fractional positions:
La 0.000 0.675 0.175
La 0.000 0.325 0.825
La 0.000 0.175 0.325
La 0.000 0.825 0.675
Al 0.000 0.000 0.000
Al 0.000 0.500 0.500
Ga 0.000 0.124 0.624
Ga 0.000 0.876 0.376
Ga 0.000 0.624 0.876
Ga 0.000 0.376 0.124
Rh 0.500 0.202 0.065
Rh 0.500 0.798 0.935
Rh 0.500 0.065 0.798
Rh 0.500 0.702 0.435
Rh 0.500 0.935 0.202
Rh 0.500 0.298 0.565
Rh 0.500 0.565 0.702
Rh 0.500 0.435 0.298
Rh 0.500 0.500 0.000
Rh 0.500 0.000 0.500

## Properties
crystal system: tetragonal
N(E_F): 0.538 states/eV per atom
total energy: -6.3841 eV/atom
magnetization: 0.00 Bohr magnetons per cell
calculated formation energy: -0.743 eV/atom

---

7.
A relaxed La2AlGaRh6 crystal. Source: Alexandria via LeMat-Bulk, functional PBE.

Cell: 6.504 6.514 6.506 Å, 59.99 60.09 90.00°
Fractional positions:
La 0.250 0.750 0.500
La 0.750 0.250 0.500
Al 0.500 0.500 0.000
Ga 0.000 0.000 0.000
Rh 0.253 0.748 0.000
Rh 0.747 0.747 0.000
Rh 0.253 0.253 0.495
Rh 0.747 0.252 0.000
Rh 0.253 0.253 0.000
Rh 0.747 0.747 0.505

## Properties
crystal system: trigonal
N(E_F): 1.113 states/eV per atom
total energy: -6.4370 eV/atom
magnetization: 0.00 Bohr magnetons per cell
calculated formation energy: -0.364 eV/atom

---

8.
A relaxed La2Al2GaRh5 crystal. Source: Alexandria via LeMat-Bulk, functional PBE.

Cell: 3.495 10.082 10.082 Å, 90.00 90.00 90.00°
Fractional positions:
La 0.000 0.677 0.177
La 0.000 0.323 0.823
La 0.000 0.177 0.323
La 0.000 0.823 0.677
Al 0.000 0.122 0.622
Al 0.000 0.878 0.378
Al 0.000 0.622 0.878
Al 0.000 0.378 0.122
Ga 0.000 0.000 0.000
Ga 0.000 0.500 0.500
Rh 0.500 0.206 0.064
Rh 0.500 0.794 0.936
Rh 0.500 0.064 0.794
Rh 0.500 0.706 0.436
Rh 0.500 0.936 0.206
Rh 0.500 0.294 0.564
Rh 0.500 0.564 0.706
Rh 0.500 0.436 0.294
Rh 0.500 0.500 0.000
Rh 0.500 0.000 0.500

## Properties
crystal system: tetragonal
N(E_F): 0.555 states/eV per atom
total energy: -6.4619 eV/atom
magnetization: 0.00 Bohr magnetons per cell
calculated formation energy: -0.749 eV/atom